The following is a DFT calculation (PBE) of a relaxed structure of Si2NiSe.

Calculated values
**Symmetry**: I-42d
**Uncorrected energy**: -4.9629 eV/atom
**E_form (uncorrected)**: 0.26 eV/f.u.
**Crystal system**: tetragonal
**N(E_F)**: 0.99 states/eV/cell

Lattice parameters (Å, degrees): 5.569 5.569 6.459 64.46 64.46 90.00
Sites, in units of the cell vectors:
Si1 0.175 0.625 0.250
Se1 0.000 0.000 0.000
Ni1 0.250 0.750 0.500
Si2 0.375 0.425 0.750
Si3 0.575 0.125 0.250
Ni2 0.500 0.500 0.000
Si4 0.875 0.825 0.750
Se2 0.750 0.250 0.500


The following is a DFT calculation (PBE) of a relaxed structure of SiNiSe2.

Calculated values
**Symmetry**: P4/mmm
**Uncorrected energy**: -4.1680 eV/atom
**E_form (uncorrected)**: 1.50 eV/f.u.
**Crystal system**: tetragonal
**N(E_F)**: 2.36 states/eV/cell

Lattice parameters (Å, degrees): 3.131 3.131 6.735 90.00 90.00 90.00
Sites, in units of the cell vectors:
Ni1 0.500 0.500 0.750
Se1 0.000 0.000 0.525
Si1 0.500 0.500 0.250
Se2 0.000 0.000 0.975


Q: Number 2 is which compound?
A: SiNiSe2